DFT (PBE+U) results for a relaxed Li3Fe2P2O8F2 crystal.

Results
**DFT total energy**: -109.48 eV per cell
**Space-group type**: P-1

abc: 5.2079 5.3952 7.4090
angles: 106.86 107.67 97.18
Last column: magnetic moment on the atom in μB.
Element x y z (fractional)
P1 0.3368 0.6391 0.7596  0.01
P2 0.6632 0.3609 0.2404  0.01
O1 0.3336 0.3421 0.6624  0.04
O2 0.2756 0.7831 0.6069  0.03
O3 0.1263 0.6640 0.8757  0.07
O4 0.3632 0.2403 0.0779  0.09
O5 0.7244 0.2169 0.3931  0.03
O6 0.8737 0.3360 0.1243  0.07
O7 0.6368 0.7597 0.9221  0.09
O8 0.6664 0.6579 0.3376  0.04
Li1 0.5000 0.0000 0.5000  0.00
Li2 0.2501 0.5876 0.1506  0.00
Li3 0.7499 0.4124 0.8494  0.00
F1 0.8505 0.0835 0.7448  0.08
F2 0.1495 0.9165 0.2552  0.08
Fe1 0.0000 0.0000 0.0000  4.40
Fe2 0.0000 0.0000 0.5000  3.80